KAgSeBr2 | PBE-GGA | relaxed

Lattice parameters (Å, degrees): 6.0507 6.0507 5.9301 90.00 90.00 90.00
Space group P4/mmm (No. 123)
Asymmetric unit:
K 0.0000 0.0000 0.0000 x1
Ag 0.5000 0.5000 0.5000 x1
Se 0.0000 0.0000 0.5000 x1
Br 0.0000 0.5000 0.0000 x2

ΔE to the lowest computed polymorph   3.705 eV/f.u.
Crystal system   tetragonal


KAg2SeBr6 | PBE-GGA | relaxed

Lattice parameters (Å, degrees): 6.9673 7.4008 7.6399 68.74 72.11 87.24
Space group P1 (No. 1)
Asymmetric unit:
K 0.0000 0.0000 0.0000 x1
Ag 0.1993 0.5968 0.5737 x1
Ag 0.6817 0.1064 0.5874 x1
Se 0.4965 0.5267 0.9809 x1
Br 0.0034 0.3121 0.5487 x1
Br 0.3647 0.8295 0.7147 x1
Br 0.4160 0.3211 0.7627 x1
Br 0.5208 0.7368 0.1632 x1
Br 0.6120 0.2311 0.1994 x1
Br 0.9353 0.8548 0.4787 x1

Crystal system   triclinic


K2AgSeBr | PBE-GGA | relaxed

Lattice parameters (Å, degrees): 6.3232 6.3232 4.8891 90.00 90.00 90.00
Space group P4/mmm (No. 123)
Asymmetric unit:
K 0.0000 0.5000 0.0000 x2
Ag 0.0000 0.0000 0.5000 x1
Se 0.0000 0.0000 0.0000 x1
Br 0.5000 0.5000 0.5000 x1

Crystal system   tetragonal


KSmAgBr6 | PBE-GGA | relaxed

Lattice parameters (Å, degrees): 7.3153 7.3153 14.5480 90.00 90.00 120.00
Space group P-31c (No. 163)
Asymmetric unit:
K 0.0000 0.0000 0.0000 x2
Sm 0.3333 0.6667 0.2500 x2
Ag 0.3333 0.6667 0.7500 x2
Br 0.0075 0.3780 0.6361 x12

Crystal system   trigonal


K2SmAgBr6 | PBE-GGA | relaxed

Lattice parameters (Å, degrees): 7.7006 8.1272 13.2752 90.00 124.77 90.00
Space group P2_1/c (No. 14)
Asymmetric unit:
K 0.2207 0.0794 0.2475 x4
Sm 0.5000 0.0000 0.0000 x2
Ag 0.0000 0.0000 0.5000 x2
Br 0.1448 0.1924 0.9467 x4
Br 0.2592 0.7032 0.9475 x4
Br 0.3548 0.0272 0.7476 x4

Crystal system   monoclinic


K2SmAg2Br6 | PBE-GGA | relaxed

Lattice parameters (Å, degrees): 12.8640 8.4973 8.4992 90.00 117.64 90.00
Space group C2/m (No. 12)
Asymmetric unit:
K 0.2215 0.0000 0.1386 x4
Sm 0.0000 0.0000 0.5000 x2
Ag 0.0558 0.5000 0.1810 x4
Br 0.0701 0.2312 0.7801 x8
Br 0.2308 0.0000 0.5290 x4

Crystal system   monoclinic


KSm2AgBr8 | PBE-GGA | relaxed

Lattice parameters (Å, degrees): 7.0047 8.7801 7.2847 90.00 96.10 90.00
Space group P2/m (No. 10)
Asymmetric unit:
K 0.0000 0.0000 0.0000 x1
Sm 0.5000 0.2573 0.5000 x2
Ag 0.0000 0.5000 0.0000 x1
Br 0.2521 0.2765 0.1675 x4
Br 0.2761 0.5000 0.6423 x2
Br 0.2856 0.0000 0.6344 x2

Crystal system   monoclinic


KSmAg2Br6 | PBE-GGA | relaxed

Lattice parameters (Å, degrees): 7.4692 7.4692 20.4746 90.00 90.00 120.00
Space group R3 (No. 146, hexagonal axes)
Asymmetric unit:
K 0.0000 0.0000 0.0000 x3
Sm 0.0000 0.0000 0.4835 x3
Ag 0.0000 0.0000 0.2940 x3
Ag 0.0000 0.0000 0.8072 x3
Br 0.9998 0.3355 0.5541 x9
Br 0.0121 0.6064 0.0599 x9

Crystal system   trigonal


| no. | formation energy from raw total energies (meV/atom) | total energy (eV for the cell shown) |
| --- | --- | --- |
| 1 | 228 | -9.637 |
| 2 | -482 | -25.143 |
| 3 | -945 | -14.930 |
| 4 | -1262 | -60.118 |
| 5 | -1527 | -70.138 |
| 6 | -1224 | -72.225 |
| 7 | -1566 | -45.561 |
| 8 | -1216 | -101.161 |